Entry 1:
Computed, not measured: LaCe3Se4 after structural relaxation at the PBE level of DFT.

The structure in extended XYZ format:
```
16
Lattice="5.988 0.000 0.000 0.000 5.988 0.000 0.000 0.000 11.974" Properties=species:S:1:pos:R:3 pbc="T T T"
La 0.000 0.000 0.000
La 2.994 2.994 5.987
Ce 0.000 0.000 5.987
Ce 0.000 2.994 2.994
Ce 0.000 2.994 8.981
Ce 2.994 0.000 2.994
Ce 2.994 0.000 8.981
Ce 2.994 2.994 0.000
Se 0.000 0.000 3.023
Se 0.000 0.000 8.951
Se 0.000 2.994 0.000
Se 0.000 2.994 5.987
Se 2.994 0.000 0.000
Se 2.994 0.000 5.987
Se 2.994 2.994 2.964
Se 2.994 2.994 9.010
```

## Properties
offset from the most stable computed form: 5 meV per atom
uncorrected formation energy: -1.856 eV/atom
size of the total moment: 3.03 μB per formula unit
SG: I4/mmm, No. 139
uncorrected energy: -103.028 eV for the cell shown
density of states at the Fermi level: 20.12 states/eV/f.u.



Entry 2:
Computed, not measured: La4CeSe5 after structural relaxation at the PBE level of DFT.

The structure in extended XYZ format:
```
10
Lattice="-2.147 2.147 15.202 2.147 -2.147 15.202 2.147 2.147 -15.202" Properties=species:S:1:pos:R:3 pbc="T T T"
La 0.000 0.000 3.026
La 0.000 0.000 9.158
La 0.000 0.000 21.247
La 0.000 0.000 27.379
Ce 0.000 0.000 15.202
Se 0.000 0.000 0.000
Se 0.000 0.000 6.094
Se 0.000 0.000 12.208
Se 0.000 0.000 18.197
Se 0.000 0.000 24.311
```

## Properties
uncorrected formation energy: -1.961 eV/atom
size of the total moment: 1.22 μB per formula unit
SG: I4/mmm, No. 139
uncorrected energy: -62.674 eV for the cell shown
density of states at the Fermi level: 11.28 states/eV/f.u.



Entry 3:
Computed, not measured: LaCe6Se8 after structural relaxation at the PBE level of DFT.

The structure in extended XYZ format:
```
15
Lattice="0.000 5.952 5.952 5.952 0.000 5.952 5.952 5.952 0.000" Properties=species:S:1:pos:R:3 pbc="T T T"
La 0.000 0.000 0.000
Ce 2.976 2.976 0.000
Ce 2.976 0.000 2.976
Ce 5.952 2.976 2.976
Ce 0.000 2.976 2.976
Ce 2.976 5.952 2.976
Ce 2.976 2.976 5.952
Se 2.976 2.976 2.976
Se 5.952 5.952 3.039
Se 5.952 3.039 5.952
Se 8.864 5.952 5.952
Se 3.039 5.952 5.952
Se 5.952 8.864 5.952
Se 5.952 5.952 8.864
Se 8.927 8.927 8.927
```

## Properties
uncorrected formation energy: -1.841 eV/atom
size of the total moment: 6.86 μB per formula unit
SG: Fm-3m, No. 225
uncorrected energy: -96.017 eV for the cell shown
density of states at the Fermi level: 38.46 states/eV/f.u.



Entry 4:
Computed, not measured: LaCe4Se5 after structural relaxation at the PBE level of DFT.

The structure in extended XYZ format:
```
10
Lattice="-2.114 2.114 14.944 2.114 -2.114 14.944 2.114 2.114 -14.944" Properties=species:S:1:pos:R:3 pbc="T T T"
La 0.000 0.000 0.000
Ce 0.000 0.000 5.997
Ce 0.000 0.000 11.932
Ce 0.000 0.000 17.956
Ce 0.000 0.000 23.891
Se 0.000 0.000 3.025
Se 0.000 0.000 8.967
Se 0.000 0.000 14.944
Se 0.000 0.000 20.921
Se 0.000 0.000 26.863
```

## Properties
uncorrected formation energy: -1.848 eV/atom
size of the total moment: 3.89 μB per formula unit
SG: I4/mmm, No. 139
uncorrected energy: -64.569 eV for the cell shown
density of states at the Fermi level: 26.54 states/eV/f.u.



Entry 5:
Computed, not measured: La2CeSe4 after structural relaxation at the PBE level of DFT.

The structure in extended XYZ format:
```
14
Lattice="2.085 -7.151 0.000 2.085 7.151 0.000 0.000 0.000 14.226" Properties=species:S:1:pos:R:3 pbc="T T T"
La 2.085 5.277 8.110
La 2.085 5.277 13.228
La 2.085 -5.277 0.998
La 2.085 -5.277 6.115
Ce 2.085 1.771 10.669
Ce 2.085 -1.771 3.556
Se 2.085 6.786 10.669
Se 2.085 3.953 1.771
Se 2.085 3.953 5.342
Se 2.085 0.000 0.000
Se 2.085 0.000 7.113
Se 2.085 -3.953 8.884
Se 2.085 -3.953 12.455
Se 2.085 -6.786 3.556
```

## Properties
offset from the most stable computed form: 40 meV per atom
uncorrected formation energy: -1.920 eV/atom
size of the total moment: 1.30 μB per formula unit
SG: Cmcm, No. 63
uncorrected energy: -86.329 eV for the cell shown
density of states at the Fermi level: 7.42 states/eV/f.u.



Entry 6:
Computed, not measured: LaCe2Se3 after structural relaxation at the PBE level of DFT.

The structure in extended XYZ format:
```
12
Lattice="4.231 0.000 0.000 0.000 6.002 0.000 0.000 0.000 12.762" Properties=species:S:1:pos:R:3 pbc="T T T"
La 0.000 0.000 0.000
La 2.116 3.001 6.381
Ce 0.000 0.000 4.273
Ce 0.000 0.000 8.488
Ce 2.116 3.001 2.107
Ce 2.116 3.001 10.654
Se 0.000 3.001 0.000
Se 0.000 3.001 4.204
Se 0.000 3.001 8.557
Se 2.116 0.000 2.176
Se 2.116 0.000 6.381
Se 2.116 0.000 10.585
```

## Properties
uncorrected formation energy: -1.873 eV/atom
size of the total moment: 2.01 μB per formula unit
SG: Immm, No. 71
uncorrected energy: -76.970 eV for the cell shown
density of states at the Fermi level: 13.51 states/eV/f.u.



Entry 7:
Computed, not measured: LaCe4Se6 after structural relaxation at the PBE level of DFT.

The structure in extended XYZ format:
```
22
Lattice="2.081 -6.926 0.000 2.081 6.926 0.000 0.000 0.000 21.218" Properties=species:S:1:pos:R:3 pbc="T T T"
La 2.081 4.708 15.914
La 2.081 -4.708 5.305
Ce 2.081 5.692 2.680
Ce 2.081 5.692 7.929
Ce 2.081 1.937 0.833
Ce 2.081 1.937 9.776
Ce 2.081 -1.937 11.443
Ce 2.081 -1.937 20.385
Ce 2.081 -5.692 13.289
Ce 2.081 -5.692 18.539
Se 0.000 0.000 0.000
Se 0.000 0.000 10.609
Se 2.081 4.375 5.305
Se 2.081 3.201 12.558
Se 2.081 3.201 19.269
Se 2.081 0.708 3.554
Se 2.081 0.708 7.055
Se 2.081 -0.708 14.163
Se 2.081 -0.708 17.664
Se 2.081 -3.201 1.949
Se 2.081 -3.201 8.660
Se 2.081 -4.375 15.914
```

## Properties
uncorrected formation energy: -1.847 eV/atom
size of the total moment: 4.19 μB per formula unit
SG: Cmcm, No. 63
uncorrected energy: -139.781 eV for the cell shown
density of states at the Fermi level: 25.35 states/eV/f.u.



Entry 8:
Computed, not measured: LaCe5Se8 after structural relaxation at the PBE level of DFT.

The structure in extended XYZ format:
```
14
Lattice="-4.473 4.473 4.481 4.473 -4.473 4.481 4.473 4.473 -4.481" Properties=species:S:1:pos:R:3 pbc="T T T"
La 0.000 0.000 0.000
Ce 2.242 -1.117 3.365
Ce 3.355 2.231 1.116
Ce 2.231 5.590 -1.116
Ce 0.000 4.473 2.240
Ce 1.117 2.242 5.597
Se 3.797 2.906 -1.789
Se 6.017 0.687 0.446
Se 0.687 2.928 -0.446
Se 0.675 1.567 2.692
Se 3.786 1.544 4.034
Se 1.567 -0.675 6.270
Se 2.906 5.148 1.789
Se -1.544 3.786 4.927
```

## Properties
uncorrected formation energy: -1.874 eV/atom
size of the total moment: 7.02 μB per formula unit
SG: I-4, No. 82
uncorrected energy: -88.703 eV for the cell shown
density of states at the Fermi level: 30.25 states/eV/f.u.



Please write out number 1 again, unchanged.
Computed, not measured: LaCe3Se4 after structural relaxation at the PBE level of DFT.

The structure in extended XYZ format:
```
16
Lattice="5.988 0.000 0.000 0.000 5.988 0.000 0.000 0.000 11.974" Properties=species:S:1:pos:R:3 pbc="T T T"
La 0.000 0.000 0.000
La 2.994 2.994 5.987
Ce 0.000 0.000 5.987
Ce 0.000 2.994 2.994
Ce 0.000 2.994 8.981
Ce 2.994 0.000 2.994
Ce 2.994 0.000 8.981
Ce 2.994 2.994 0.000
Se 0.000 0.000 3.023
Se 0.000 0.000 8.951
Se 0.000 2.994 0.000
Se 0.000 2.994 5.987
Se 2.994 0.000 0.000
Se 2.994 0.000 5.987
Se 2.994 2.994 2.964
Se 2.994 2.994 9.010
```

## Properties
offset from the most stable computed form: 5 meV per atom
uncorrected formation energy: -1.856 eV/atom
size of the total moment: 3.03 μB per formula unit
SG: I4/mmm, No. 139
uncorrected energy: -103.028 eV for the cell shown
density of states at the Fermi level: 20.12 states/eV/f.u.



Question: Which formula does entry 6 have?
Answer: LaCe2Se3